Entry from Alexandria via LeMat-Bulk: a geometry-optimized LiSm2IrO5 structure (PBE).

Output
calculated total energy = -7.151 eV/atom
DOS at the Fermi energy = 2.35 states/eV per cell
total magnetization = 0.00 μB per formula unit
ΔE_f (raw) = -2.15 eV per atom

Cell and atoms, written as CIF:
```
data_LiSm2IrO5
_chemical_formula_sum 'Li2 Sm4 Ir2 O10'
_symmetry_space_group_name_H-M 'I m m m'
_symmetry_Int_Tables_number 71
_symmetry_space_group_name_Hall '-I 2 2'
_cell_length_a 4.0140
_cell_length_b 5.8421
_cell_length_c 11.1345
_cell_angle_alpha 90.00
_cell_angle_beta 90.00
_cell_angle_gamma 90.00
loop_
_atom_site_label
_atom_site_type_symbol
_atom_site_fract_x
_atom_site_fract_y
_atom_site_fract_z
_atom_site_occupancy
Li1 Li 0.0000 0.0000 0.0000 1
Sm1 Sm 0.0000 0.5000 0.2101 1
Ir1 Ir 0.0000 0.0000 0.5000 1
O1 O 0.0000 0.2287 0.3555 1
O2 O 0.0000 0.5000 0.0000 1
```